# Cr3TcH

A relaxed structure of Cr3TcH (PBE-GGA, Alexandria).

Values from the calculation:
SG ... Pm-3m (221)
E_tot ... -6.733 eV/atom

Lattice parameters (Å, degrees): 4.6928 4.6928 4.6928 90.00 90.00 90.00
With the nearest neighbours (Å) after each atom.
Positions (direct):
Cr 0.0000 0.5000 0.0000  2 Tc 2.35
Cr 0.0000 0.0000 0.5000  2 Tc 2.35
Cr 0.5000 0.0000 0.0000  2 Tc 2.35
Tc 0.0000 0.0000 0.0000  6 Cr 2.35
H 0.5000 0.5000 0.5000  12 Cr 3.32

# CrTc3H

A relaxed structure of CrTc3H (PBE-GGA, Alexandria).

Values from the calculation:
SG ... Pm-3m (221)
E_tot ... -6.849 eV/atom

Lattice parameters (Å, degrees): 4.4313 4.4313 4.4313 90.00 90.00 90.00
With the nearest neighbours (Å) after each atom.
Positions (direct):
Cr 0.0000 0.0000 0.0000  6 Tc 2.22
Tc 0.0000 0.5000 0.0000  2 Cr 2.22
Tc 0.0000 0.0000 0.5000  2 Cr 2.22
Tc 0.5000 0.0000 0.0000  2 Cr 2.22
H 0.5000 0.5000 0.5000  12 Tc 3.13

# Cr2TcH

A relaxed structure of Cr2TcH (PBE-GGA, Alexandria).

Values from the calculation:
SG ... I-42d (122)
E_tot ... -7.830 eV/atom

Lattice parameters (Å, degrees): 4.9497 4.9497 4.9436 59.96 59.96 90.00
With the nearest neighbours (Å) after each atom.
Positions (direct):
Cr 0.3764 0.1250 0.2500  2 H 1.51
Cr 0.3736 0.6250 0.2500  2 H 1.51
Cr 0.3750 0.6236 0.7500  2 H 1.51
Cr 0.8750 0.6264 0.7500  2 H 1.51
Tc 0.0000 0.0000 0.0000  12 Cr 2.90-2.91, 4 H 3.03, 4 Tc 3.03
Tc 0.7500 0.2500 0.5000  12 Cr 2.90-2.91, 4 H 3.03, 4 Tc 3.03
H 0.5000 0.5000 0.0000  4 Cr 1.51
H 0.2500 0.7500 0.5000  4 Cr 1.51

Among the records above, which one has the highest E_tot?
Cr3TcH

Look up the E_tot of the second one.
-6.849 eV/atom

The lowest E_tot belongs to which entry?
Cr2TcH